First-principles (PBE) data for crystalline SrCaTe2 at its relaxed geometry, as listed in Alexandria.

Values from the calculation:
- Final energy: -31.447 eV per cell
- Raw formation energy: -5.76 eV/f.u.

Lattice parameters (Å, degrees): 7.314 7.314 8.886 65.70 65.70 90.00
Sites, in units of the cell vectors:
Sr (0.750, 0.250, 0.500)
Sr (0.000, 0.000, 0.000)
Ca (0.500, 0.500, 0.000)
Te (0.144, 0.625, 0.250)
Ca (0.250, 0.750, 0.500)
Te (0.875, 0.856, 0.750)
Te (0.375, 0.394, 0.750)
Te (0.606, 0.125, 0.250)